Mn2HgO, optimized geometry, DFT PBE+U; energy relative to the lowest polymorph listed for this composition = 0.0000 eV per atom
1.0
-3.157 3.157 3.793
3.157 -3.157 3.793
3.157 3.157 -3.793
Mn Hg O
4 2 2
Direct
0.024 0.625 0.899 Mn
0.375 0.274 0.399 Mn
0.726 0.125 0.101 Mn
0.875 0.976 0.601 Mn
0.250 0.750 0.500 Hg
0.500 0.500 0.000 Hg
0.000 0.000 0.000 O
0.750 0.250 0.500 O